Entry 1:
# K2TaHg (PBE-GGA, relaxed)
# E_form = 0.9880 eV/atom
data_K2TaHg
_chemical_formula_sum 'K4 Ta2 Hg2'
_cell_length_a 6.3927
_cell_length_b 11.8922
_cell_length_c 2.9771
_cell_angle_alpha 90.00
_cell_angle_beta 90.40
_cell_angle_gamma 90.00
_space_group_name_H-M_alt 'C 1 2/m 1'
_space_group_IT_number 12
loop_
_space_group_symop_operation_xyz
'x,y,z'
'-x,-y,-z'
'-x,y,-z'
'x,-y,z'
'x+1/2,y+1/2,z'
'-x+1/2,-y+1/2,-z'
'-x+1/2,y+1/2,-z'
'x+1/2,-y+1/2,z'
loop_
_atom_site_label
_atom_site_type_symbol
_atom_site_fract_x
_atom_site_fract_y
_atom_site_fract_z
_atom_site_occupancy
K1 K 0.2500 0.2500 0.0000 1
Ta1 Ta 0.0000 0.0000 0.5000 1
Hg1 Hg 0.0000 0.5000 0.5000 1

***

Entry 2:
# MgRh2Se (PBE-GGA, relaxed)
# Uncorrected formation energy = -118 kJ/mol of formula units
data_MgRh2Se
_chemical_formula_sum 'Mg1 Rh2 Se1'
_cell_length_a 4.3016
_cell_length_b 4.3016
_cell_length_c 3.2953
_cell_angle_alpha 90.00
_cell_angle_beta 90.00
_cell_angle_gamma 90.00
_space_group_name_H-M_alt 'P 4/m m m'
_space_group_IT_number 123
_space_group_name_Hall '-P 4 2'
loop_
_atom_site_label
_atom_site_type_symbol
_atom_site_fract_x
_atom_site_fract_y
_atom_site_fract_z
_atom_site_occupancy
Mg1 Mg 0.0000 0.0000 0.0000 1
Rh1 Rh 0.0000 0.5000 0.5000 1
Se1 Se 0.5000 0.5000 0.0000 1

***

Entry 3:
# K3C2 (PBE-GGA, relaxed)
# Excess energy over the best structure of this formula in the dataset = 25 meV/atom
# E_form = 1.7646 eV/atom
data_K3C2
_chemical_formula_sum 'K24 C16'
_cell_length_a 12.6530
_cell_length_b 12.9628
_cell_length_c 8.9899
_cell_angle_alpha 90.00
_cell_angle_beta 90.00
_cell_angle_gamma 90.00
_space_group_name_H-M_alt 'F d d 2'
_space_group_IT_number 43
_space_group_name_Hall 'F 2 -2d'
loop_
_atom_site_label
_atom_site_type_symbol
_atom_site_fract_x
_atom_site_fract_y
_atom_site_fract_z
_atom_site_occupancy
K1 K 0.0000 0.0000 0.0000 1
K2 K 0.0423 0.3389 0.8257 1
C1 C 0.0949 0.2887 0.5121 1

***

Entry 4:
# HoPu5Au6 (PBE-GGA, relaxed)
# E_form = -0.4681 eV/atom
data_HoPu5Au6
_chemical_formula_sum 'Ho2 Pu10 Au12'
_cell_length_a 16.4882
_cell_length_b 7.0249
_cell_length_c 5.2142
_cell_angle_alpha 90.00
_cell_angle_beta 108.33
_cell_angle_gamma 90.00
_space_group_name_H-M_alt 'C 1 2/m 1'
_space_group_IT_number 12
loop_
_space_group_symop_operation_xyz
'x,y,z'
'-x,-y,-z'
'-x,y,-z'
'x,-y,z'
'x+1/2,y+1/2,z'
'-x+1/2,-y+1/2,-z'
'-x+1/2,y+1/2,-z'
'x+1/2,-y+1/2,z'
loop_
_atom_site_label
_atom_site_type_symbol
_atom_site_fract_x
_atom_site_fract_y
_atom_site_fract_z
_atom_site_occupancy
Ho1 Ho 0.0000 0.0000 0.0000 1
Pu1 Pu 0.0000 0.5000 0.0000 1
Pu2 Pu 0.1673 0.5000 0.6667 1
Pu3 Pu 0.1749 0.0000 0.6741 1
Au1 Au 0.0000 0.2371 0.5000 1
Au2 Au 0.1590 0.2421 0.1581 1

***

Calculated total energy values, unit eV per atom, following the record order: -2.599, -5.252, -2.583, -8.460.